## CsTlCrS3 (GGA-PBE)

Data for crystalline CsTlCrS3 at its relaxed geometry.

Cell: 6.488 7.261 8.700 Å, 58.08 85.50 80.16°
Site moments in Bohr magnetons follow the coordinates.
Sites, in units of the cell vectors:
S (0.200, 0.921, 0.351)  -0.05
S (0.006, 0.255, 0.884)  -0.08
S (0.502, 0.220, 0.988)  -0.09
S (0.800, 0.079, 0.649)  -0.05
S (0.498, 0.780, 0.012)  -0.09
S (0.994, 0.745, 0.116)  -0.08
Cs (0.287, 0.311, 0.491)  0.00
Cs (0.713, 0.689, 0.509)  0.00
Tl (0.827, 0.304, 0.190)  -0.01
Tl (0.173, 0.696, 0.810)  -0.01
Cr (0.752, 0.018, 0.924)  2.07
Cr (0.248, 0.982, 0.076)  2.07

total energy = -59.05 eV per cell
raw formation energy = -0.7167 eV per atom
size of the total moment = 4.00 Bohr magnetons per cell

---

## Cs3Tm3CrS8 (GGA-PBE)

Data for crystalline Cs3Tm3CrS8 at its relaxed geometry.

Cell: 7.773 7.775 9.369 Å, 114.54 90.00 119.99°
Site moments in Bohr magnetons follow the coordinates.
Sites, in units of the cell vectors:
Cr (0.000, 0.000, 0.500)  2.48
S (0.273, 0.546, 0.319)  -0.03
S (0.249, 0.041, 0.332)  -0.07
S (0.727, 0.454, 0.681)  -0.03
S (0.209, 0.959, 0.668)  -0.07
S (0.751, 0.959, 0.668)  -0.07
S (0.791, 0.041, 0.332)  -0.07
S (0.209, 0.418, 0.668)  -0.07
S (0.791, 0.582, 0.332)  -0.07
Cs (0.000, 0.000, 0.000)  0.00
Cs (0.000, 0.500, 0.000)  0.00
Cs (0.500, 0.500, 0.000)  0.00
Tm (0.500, 0.000, 0.500)  0.01
Tm (0.000, 0.500, 0.500)  0.01
Tm (0.500, 0.500, 0.500)  0.01

total energy = -81.36 eV per cell
raw formation energy = -1.5160 eV per atom
size of the total moment = 2.02 Bohr magnetons per cell

---

## Cs3U3CrS8 (GGA-PBE)

Data for crystalline Cs3U3CrS8 at its relaxed geometry.

Cell: 7.919 7.919 9.429 Å, 114.83 90.00 120.00°
Site moments in Bohr magnetons follow the coordinates.
Sites, in units of the cell vectors:
S (0.272, 0.543, 0.315)  -0.06
S (0.781, 0.563, 0.328)  -0.07
S (0.735, 0.954, 0.672)  -0.07
S (0.219, 0.954, 0.673)  -0.07
S (0.781, 0.046, 0.327)  -0.07
S (0.219, 0.437, 0.672)  -0.07
S (0.728, 0.457, 0.685)  -0.06
S (0.265, 0.046, 0.328)  -0.07
Cr (0.000, 0.000, 0.500)  3.47
U (0.000, 0.500, 0.500)  2.33
U (0.500, 0.500, 0.500)  2.33
U (0.500, 0.000, 0.500)  2.33
Cs (0.000, 0.500, 0.000)  0.00
Cs (0.000, 0.000, 0.000)  0.00
Cs (0.500, 0.500, 0.000)  0.00

total energy = -97.88 eV per cell
raw formation energy = -1.2540 eV per atom
size of the total moment = 11.00 Bohr magnetons per cell

---

## Cs2VCrS4 (GGA-PBE)

Data for crystalline Cs2VCrS4 at its relaxed geometry.

Cell: 5.573 7.537 12.920 Å, 85.43 77.55 68.30°
Site moments in Bohr magnetons follow the coordinates.
Sites, in units of the cell vectors:
S (0.133, 0.324, 0.404)  -0.01
S (0.543, 0.324, 0.596)  -0.01
S (0.207, 0.176, 0.904)  -0.01
S (0.287, 0.824, 0.096)  -0.01
S (0.617, 0.176, 0.096)  -0.01
S (0.889, 0.824, 0.904)  -0.01
S (0.463, 0.676, 0.404)  -0.01
S (0.861, 0.676, 0.596)  -0.01
Cs (0.825, 0.000, 0.349)  0.00
Cs (0.175, 0.000, 0.651)  0.00
Cs (0.925, 0.500, 0.151)  0.00
Cs (0.575, 0.500, 0.849)  0.00
V (0.250, 0.500, 0.500)  -0.16
V (0.500, 0.000, 0.000)  -0.16
Cr (0.000, 0.000, 0.000)  1.03
Cr (0.750, 0.500, 0.500)  1.03

total energy = -90.67 eV per cell
raw formation energy = -1.0468 eV per atom
size of the total moment = 1.77 Bohr magnetons per cell

---

## Cs2ZnCrS4 (GGA-PBE)

Data for crystalline Cs2ZnCrS4 at its relaxed geometry.

Cell: 5.755 7.636 12.803 Å, 85.14 77.01 67.86°
Site moments in Bohr magnetons follow the coordinates.
Sites, in units of the cell vectors:
Zn (0.000, 0.000, 0.000)  0.01
Zn (0.750, 0.500, 0.500)  0.01
Cs (0.573, 0.500, 0.853)  0.00
Cs (0.177, 0.000, 0.647)  0.00
Cs (0.927, 0.500, 0.147)  0.00
Cs (0.823, 0.000, 0.353)  0.00
S (0.158, 0.322, 0.401)  -0.03
S (0.881, 0.678, 0.599)  -0.03
S (0.869, 0.822, 0.901)  -0.03
S (0.520, 0.322, 0.599)  -0.03
S (0.230, 0.178, 0.901)  -0.03
S (0.441, 0.678, 0.401)  -0.03
S (0.309, 0.822, 0.099)  -0.03
S (0.592, 0.178, 0.099)  -0.03
Cr (0.500, 0.000, 0.000)  1.94
Cr (0.250, 0.500, 0.500)  1.94

total energy = -73.33 eV per cell
raw formation energy = -0.9440 eV per atom
size of the total moment = 4.00 Bohr magnetons per cell

---

## Cs2Zn2CrS4 (GGA-PBE)

Data for crystalline Cs2Zn2CrS4 at its relaxed geometry.

Cell: 3.809 7.665 8.567 Å, 105.84 102.84 90.00°
Site moments in Bohr magnetons follow the coordinates.
Sites, in units of the cell vectors:
S (0.222, 0.181, 0.444)  0.01
S (0.466, 0.176, 0.931)  -0.06
S (0.778, 0.819, 0.556)  0.01
S (0.534, 0.824, 0.069)  -0.06
Zn (0.325, 0.002, 0.651)  0.01
Zn (0.675, 0.998, 0.349)  0.01
Cr (0.000, 0.000, 0.000)  3.61
Cs (0.878, 0.475, 0.756)  0.00
Cs (0.122, 0.525, 0.244)  0.00

total energy = -38.17 eV per cell
raw formation energy = -0.8650 eV per atom
size of the total moment = 4.00 Bohr magnetons per cell

---

## CsCr3Sb (GGA-PBE)

Data for crystalline CsCr3Sb at its relaxed geometry.

Cell: 5.596 5.596 5.596 Å, 90.00 90.00 90.00°
Site moments in Bohr magnetons follow the coordinates.
Sites, in units of the cell vectors:
Cs (0.000, 0.000, 0.000)  0.33
Cr (0.000, 0.000, 0.500)  4.31
Cr (0.000, 0.500, 0.000)  4.31
Cr (0.500, 0.000, 0.000)  4.37
Sb (0.500, 0.500, 0.500)  -0.14

total energy = -22.22 eV per cell
raw formation energy = 2.3257 eV per atom
size of the total moment = 15.75 Bohr magnetons per cell

---

## Cs3CrSb (GGA-PBE)

Data for crystalline Cs3CrSb at its relaxed geometry.

Cell: 7.405 7.405 7.405 Å, 90.00 90.00 90.00°
Site moments in Bohr magnetons follow the coordinates.
Sites, in units of the cell vectors:
Cs (0.000, 0.000, 0.500)  0.03
Cs (0.000, 0.500, 0.000)  0.01
Cs (0.500, 0.000, 0.000)  0.01
Sb (0.000, 0.000, 0.000)  0.28
Cr (0.500, 0.500, 0.500)  4.35

total energy = -13.82 eV per cell
raw formation energy = 0.4963 eV per atom
size of the total moment = 6.00 Bohr magnetons per cell

---

Question: What is the size of the total moment in the second record?
Answer: 2.02 Bohr magnetons per cell

---

Question: Among the records above, which one has the highest raw formation energy?
Answer: CsCr3Sb

---

Question: Look up the total energy of the fifth one.
Answer: -73.33 eV per cell

---

Question: Which value of total energy does entry 4 give?
Answer: -90.67 eV per cell